Below is Ni3PW after structural relaxation, with properties calculated at the PBE level.

Cell: 4.0908 4.0908 4.0908 Å, 90.00 90.00 90.00°
Last column: nearest neighbours and their distance in Å.
Atoms (fractional coordinates):
Ni 0.0000 0.5000 0.0000  2 P 2.05
Ni 0.0000 0.0000 0.5000  2 P 2.05
Ni 0.5000 0.0000 0.0000  2 P 2.05
W 0.5000 0.5000 0.5000  12 Ni 2.89
P 0.0000 0.0000 0.0000  6 Ni 2.05

relative energy among the computed polymorphs: 0.0 meV per atom
ΔH_f (0 K): 552 meV per atom
size of the total moment: 1.56 μB/cell
E: -32.9 eV/cell